(1)
A relaxed K2BiBr crystal. Source: the Alexandria database, functional PBE-GGA.

For the energy above the lowest structure with this stoichiometry, the calculation gives 334 meV/atom. The total magnetization comes out at 0.00 μB/cell. The calculation puts the total energy at -2.542 eV per atom. The uncorrected formation energy comes out at -0.605 eV per atom.

```
K2BiBr
1.0
9.3719 0.0000 0.0000
0.0000 9.3719 0.0000
4.6859 4.6859 3.6350
K Bi Br
4 2 2
direct
0.5849 0.1250 0.2500
0.3750 0.4151 0.7500
0.8750 0.8349 0.7500
0.1651 0.6250 0.2500
0.7500 0.2500 0.5000
0.0000 0.0000 0.0000
0.2500 0.7500 0.5000
0.5000 0.5000 0.0000
```



(2)
A relaxed K4BiBr6 crystal. Source: the Alexandria database, functional PBE-GGA.

The total magnetization comes out at 2.04 μB/cell. The calculation puts the total energy at -2.982 eV per atom. The uncorrected formation energy comes out at -1.318 eV per atom.

```
K4BiBr6
1.0
9.2337 0.0000 0.0000
0.0000 9.2337 0.0000
0.0000 0.0000 9.3461
K Br Bi
8 12 2
direct
0.1658 0.6658 0.7500
0.8342 0.3342 0.7500
0.1658 0.6658 0.2500
0.6658 0.8342 0.7500
0.8342 0.3342 0.2500
0.3342 0.1658 0.2500
0.6658 0.8342 0.2500
0.3342 0.1658 0.7500
0.0000 0.0000 0.1944
0.1736 0.3848 0.0000
0.0000 0.0000 0.8056
0.8264 0.6152 0.0000
0.5000 0.5000 0.3056
0.3848 0.8264 0.0000
0.6736 0.1152 0.5000
0.8848 0.6736 0.5000
0.6152 0.1736 0.0000
0.1152 0.3264 0.5000
0.5000 0.5000 0.6944
0.3264 0.8848 0.5000
0.0000 0.0000 0.5000
0.5000 0.5000 0.0000
```



(3)
A relaxed KBiBr2 crystal. Source: the Alexandria database, functional PBE-GGA.

For the energy above the lowest structure with this stoichiometry, the calculation gives 0 meV/atom. The total magnetization comes out at 0.00 μB/cell. The calculation puts the total energy at -2.954 eV per atom. The uncorrected formation energy comes out at -0.873 eV per atom.

```
KBiBr2
1.0
2.3486 0.0000 10.0355
-1.1743 2.0340 10.0355
-1.1743 -2.0340 10.0355
Bi Br K
1 2 1
direct
0.0000 0.0000 0.0000
0.9050 0.9050 0.9050
0.0950 0.0950 0.0950
0.5000 0.5000 0.5000
```



(4)
A relaxed K3BiBr crystal. Source: the Alexandria database, functional PBE-GGA.

For the energy above the lowest structure with this stoichiometry, the calculation gives 0 meV/atom. The total magnetization comes out at 1.00 μB/cell. The calculation puts the total energy at -2.484 eV per atom. The uncorrected formation energy comes out at -0.715 eV per atom.

```
K3BiBr
1.0
-4.0320 -4.5549 0.9569
4.6141 -4.0778 0.0315
0.6103 0.7376 6.0830
K Br Bi
3 1 1
direct
0.0000 0.5000 0.0000
0.0000 0.0000 0.5000
0.5000 0.0000 0.0000
0.0000 0.0000 0.0000
0.5000 0.5000 0.5000
```



(5)
A relaxed KBi2Br7 crystal. Source: the Alexandria database, functional PBE-GGA.

The total magnetization comes out at 0.00 μB/cell. The calculation puts the total energy at -2.922 eV per atom. The uncorrected formation energy comes out at -0.865 eV per atom.

```
KBi2Br7
1.0
5.7148 0.0000 0.0000
0.0000 8.6252 0.1476
0.0000 -3.7596 7.7641
Br Bi K
7 2 1
direct
0.0000 0.2694 0.7306
0.0000 0.7306 0.2694
0.5000 0.0537 0.3219
0.5000 0.6781 0.9463
0.5000 0.9463 0.6781
0.5000 0.3219 0.0537
0.5000 0.5000 0.5000
0.5000 0.2946 0.7054
0.5000 0.7054 0.2946
0.0000 0.0000 0.0000
```



(6)
A relaxed K2BiBr crystal. Source: the Alexandria database, functional PBE-GGA.

For the energy above the lowest structure with this stoichiometry, the calculation gives 0 meV/atom. The total magnetization comes out at 0.00 μB/cell. The calculation puts the total energy at -2.876 eV per atom. The uncorrected formation energy comes out at -0.939 eV per atom.

```
K2BiBr
1.0
-0.7666 3.6575 -0.5747
-3.4431 -0.4886 1.4836
3.4582 2.0942 8.7153
K Br Bi
2 1 1
direct
0.0000 0.0000 0.7878
0.0000 0.0000 0.2122
0.5000 0.5000 0.0000
0.5000 0.5000 0.5000
```



(7)
A relaxed K2BiBr crystal. Source: the Alexandria database, functional PBE-GGA.

For the energy above the lowest structure with this stoichiometry, the calculation gives 363 meV/atom. The total magnetization comes out at 2.00 μB/cell. The calculation puts the total energy at -2.513 eV per atom. The uncorrected formation energy comes out at -0.576 eV per atom.

```
K2BiBr
1.0
0.0007 -5.1193 -3.2842
-5.2022 -3.0049 -0.9491
-2.5104 -0.0596 -5.5396
K Bi Br
2 1 1
direct
0.7500 0.7500 0.7500
0.2500 0.2500 0.2500
0.5000 0.5000 0.5000
0.0000 0.0000 0.0000
```



(8)
A relaxed K5Bi2Br12 crystal. Source: the Alexandria database, functional PBE-GGA.

The total magnetization comes out at 1.13 μB/cell. The calculation puts the total energy at -2.935 eV per atom. The uncorrected formation energy comes out at -1.181 eV per atom.

```
K5Bi2Br12
1.0
-8.0046 -0.9887 1.6717
5.8929 0.5569 8.2540
-1.9018 10.1265 -3.1171
Bi Br K
2 12 5
direct
0.7477 0.0000 0.0000
0.2523 0.0000 0.0000
0.5836 0.7130 0.4347
0.9954 0.9907 0.8091
0.8706 0.2870 0.5653
0.4954 0.9908 0.8023
0.9003 0.3222 0.0780
0.1294 0.7130 0.4347
0.0046 0.0093 0.1909
0.5781 0.6778 0.9220
0.4164 0.2870 0.5653
0.4219 0.3222 0.0780
0.5046 0.0092 0.1977
0.0997 0.6778 0.9220
0.0000 0.0000 0.5000
0.3081 0.6161 0.1646
0.2904 0.5808 0.6376
0.6919 0.3839 0.8354
0.7096 0.4192 0.3624
```



(9)
A relaxed K2BiBr5 crystal. Source: the Alexandria database, functional PBE-GGA.

For the energy above the lowest structure with this stoichiometry, the calculation gives 0 meV/atom. The total magnetization comes out at 0.00 μB/cell. The calculation puts the total energy at -3.061 eV per atom. The uncorrected formation energy comes out at -1.256 eV per atom.

```
K2BiBr5
1.0
8.6926 0.0000 0.0000
0.0000 9.2736 0.0000
0.0000 0.0000 13.4653
K Br Bi
8 20 4
direct
0.5763 0.0067 0.1684
0.0763 0.9933 0.3316
0.4237 0.5067 0.8316
0.9237 0.4933 0.6684
0.5763 0.4933 0.1684
0.9237 0.0067 0.6684
0.0763 0.5067 0.3316
0.4237 0.9933 0.8316
0.3260 0.9512 0.5658
0.3517 0.2500 0.2954
0.3925 0.7500 0.3100
0.6075 0.2500 0.6900
0.3260 0.5488 0.5658
0.8260 0.0488 0.9342
0.9197 0.7500 0.4882
0.5803 0.7500 0.9882
0.8925 0.2500 0.1900
0.8517 0.7500 0.2046
0.6740 0.0488 0.4342
0.1075 0.7500 0.8100
0.1483 0.2500 0.7954
0.6740 0.4512 0.4342
0.6483 0.7500 0.7046
0.8260 0.4512 0.9342
0.1740 0.9512 0.0658
0.0803 0.2500 0.5118
0.1740 0.5488 0.0658
0.4197 0.2500 0.0118
0.4333 0.2500 0.5036
0.5667 0.7500 0.4964
0.0667 0.2500 0.0036
0.9333 0.7500 0.9964
```



(10)
A relaxed KMg2BiBr8 crystal. Source: the Alexandria database, functional PBE-GGA.

The total magnetization comes out at 0.00 μB/cell. The calculation puts the total energy at -2.987 eV per atom. The uncorrected formation energy comes out at -1.191 eV per atom.

```
KMg2BiBr8
1.0
-3.9167 5.1741 -2.3773
-3.6280 -0.0613 5.4927
5.2814 5.6519 3.5678
Br Mg K Bi
8 2 1 1
direct
0.1778 0.7364 0.7695
0.8228 0.2643 0.7693
0.8222 0.2636 0.2305
0.1772 0.7357 0.2307
0.3634 0.2834 0.5002
0.6366 0.7166 0.4998
0.3450 0.2684 0.9999
0.6550 0.7316 0.0001
0.5001 0.5003 0.2610
0.4999 0.4997 0.7390
0.0000 0.0000 0.5000
0.0000 0.0000 0.0000
```



(11)
A relaxed KMgBiBr6 crystal. Source: the Alexandria database, functional PBE-GGA.

The total magnetization comes out at 0.00 μB/cell. The calculation puts the total energy at -3.070 eV per atom. The uncorrected formation energy comes out at -1.224 eV per atom.

```
KMgBiBr6
1.0
7.2556 0.0005 0.0001
3.6283 6.2833 -0.0001
0.0002 -0.0004 7.3157
Br Mg Bi K
6 1 1 1
direct
0.3793 0.6399 0.2808
0.9808 0.6399 0.7191
0.3792 0.9809 0.7191
0.6399 0.9808 0.2809
0.9809 0.3792 0.2809
0.6399 0.3793 0.7192
0.6666 0.6666 0.5000
0.3333 0.3334 0.5000
0.0000 0.0000 0.0000
```



(12)
A relaxed KMnBiBr2 crystal. Source: the Alexandria database, functional PBE-GGA.

The total magnetization comes out at 3.00 μB/cell. The calculation puts the total energy at -3.970 eV per atom. The uncorrected formation energy comes out at -0.472 eV per atom.

```
KMnBiBr2
1.0
5.5096 0.0000 0.0000
0.0000 5.3996 0.0000
0.0000 0.0000 5.5096
Br Bi K Mn
2 1 1 1
direct
0.5000 0.0000 0.0000
0.0000 0.0000 0.5000
0.0000 0.5000 0.0000
0.5000 0.5000 0.5000
0.0000 0.0000 0.0000
```